Record 1
A plane-wave DFT calculation with PBE was carried out for crystalline AgPdSe2 at its relaxed geometry.

The uncorrected formation energy is -165 meV per atom. The symmetry is C2/m (12). The value obtained for the calculated volume is 80 Å³ per cell.

a = 3.766 Å, b = 3.766 Å, c = 6.867 Å
α = 105.89°, β = 105.89°, γ = 60.17°
Fractional coordinates of all 4 atoms:
Ag1 0.500 0.500 0.500
Pd1 0.000 0.000 0.000
Se1 0.261 0.261 0.783
Se2 0.739 0.739 0.217

Record 2
A plane-wave DFT calculation with PBE was carried out for crystalline AgPd2Se at its relaxed geometry.

The uncorrected formation energy is -72 meV per atom. The symmetry is P4/mmm (123). The value obtained for the calculated volume is 67 Å³ per cell.

a = 3.160 Å, b = 3.160 Å, c = 6.741 Å
α = 90.00°, β = 90.00°, γ = 90.00°
Fractional coordinates of all 4 atoms:
Se1 0.500 0.500 0.000
Pd1 0.000 0.000 0.770
Pd2 0.000 0.000 0.230
Ag1 0.500 0.500 0.500

Record 3
A plane-wave DFT calculation with PBE was carried out for crystalline Ag2PdSe at its relaxed geometry.

The uncorrected formation energy is 89 meV per atom. The symmetry is I-42d (122). The value obtained for the calculated volume is 154 Å³ per cell.

a = 7.597 Å, b = 7.597 Å, c = 6.001 Å
α = 50.73°, β = 50.73°, γ = 90.00°
Fractional coordinates of all 8 atoms:
Se1 0.500 0.500 0.000
Se2 0.250 0.750 0.500
Pd1 0.000 0.000 0.000
Pd2 0.750 0.250 0.500
Ag1 0.613 0.125 0.250
Ag2 0.137 0.625 0.250
Ag3 0.375 0.387 0.750
Ag4 0.875 0.863 0.750

Record 4
A plane-wave DFT calculation with PBE was carried out for crystalline AgPd4Se at its relaxed geometry.

The uncorrected formation energy is -52 meV per atom. The symmetry is C2/c (15). The value obtained for the calculated volume is 205 Å³ per cell.

a = 5.363 Å, b = 5.412 Å, c = 7.636 Å
α = 98.39°, β = 110.61°, γ = 89.98°
Fractional coordinates of all 12 atoms:
Ag1 0.910 0.750 0.000
Ag2 0.090 0.250 0.000
Pd1 0.509 0.070 0.834
Pd2 0.675 0.431 0.166
Pd3 0.491 0.930 0.166
Pd4 0.325 0.569 0.834
Pd5 0.967 0.926 0.665
Pd6 0.302 0.575 0.336
Pd7 0.033 0.074 0.335
Pd8 0.698 0.425 0.664
Se1 0.500 0.000 0.500
Se2 0.000 0.500 0.500

Record 5
A plane-wave DFT calculation with PBE was carried out for crystalline Ag2PdSe at its relaxed geometry.

The uncorrected formation energy is 4 meV per atom. The symmetry is P4/mmm (123). The value obtained for the calculated volume is 71 Å³ per cell.

a = 4.430 Å, b = 4.004 Å, c = 4.004 Å
α = 90.00°, β = 90.00°, γ = 90.00°
Fractional coordinates of all 4 atoms:
Se1 0.500 0.000 0.000
Pd1 0.500 0.500 0.500
Ag1 0.000 0.000 0.500
Ag2 0.000 0.500 0.000

Record 6
A plane-wave DFT calculation with PBE was carried out for crystalline AgPdSe2 at its relaxed geometry.

The uncorrected formation energy is -23 meV per atom. The symmetry is I-42d (122). The value obtained for the calculated volume is 201 Å³ per cell.

a = 5.760 Å, b = 5.760 Å, c = 7.299 Å
α = 66.76°, β = 66.76°, γ = 90.00°
Fractional coordinates of all 8 atoms:
Se1 0.596 0.125 0.250
Se2 0.154 0.625 0.250
Se3 0.375 0.404 0.750
Se4 0.875 0.846 0.750
Pd1 0.500 0.500 0.000
Pd2 0.250 0.750 0.500
Ag1 0.000 0.000 0.000
Ag2 0.750 0.250 0.500

Record 7
A plane-wave DFT calculation with PBE was carried out for crystalline AgPdSe2 at its relaxed geometry.

The uncorrected formation energy is -124 meV per atom. The symmetry is R-3m (166). The value obtained for the calculated volume is 96 Å³ per cell.

a = 7.959 Å, b = 7.959 Å, c = 7.959 Å
α = 27.71°, β = 27.71°, γ = 27.71°
Fractional coordinates of all 4 atoms:
Se1 0.890 0.890 0.890
Se2 0.110 0.110 0.110
Pd1 0.500 0.500 0.500
Ag1 0.000 0.000 0.000

Record 8
A plane-wave DFT calculation with PBE was carried out for crystalline AgPd2Se2 at its relaxed geometry.

The uncorrected formation energy is -51 meV per atom. The symmetry is P-1 (2). The value obtained for the calculated volume is 200 Å³ per cell.

a = 4.400 Å, b = 6.411 Å, c = 7.841 Å
α = 84.62°, β = 73.88°, γ = 69.94°
Fractional coordinates of all 10 atoms:
Ag1 0.883 0.737 0.250
Ag2 0.117 0.263 0.750
Pd1 0.547 0.412 0.250
Pd2 0.788 0.925 0.750
Pd3 0.212 0.075 0.250
Pd4 0.453 0.588 0.750
Se1 0.503 0.750 0.025
Se2 0.751 0.250 0.526
Se3 0.497 0.250 0.975
Se4 0.249 0.750 0.474

Record 9
A plane-wave DFT calculation with PBE was carried out for crystalline Ag5PdSe4 at its relaxed geometry.

The uncorrected formation energy is -14 meV per atom. The symmetry is C2/m (12). The value obtained for the calculated volume is 214 Å³ per cell.

a = 3.948 Å, b = 7.174 Å, c = 8.970 Å
α = 119.29°, β = 102.71°, γ = 90.00°
Fractional coordinates of all 10 atoms:
Ag1 0.184 0.475 0.369
Ag2 0.170 0.864 0.339
Ag3 0.830 0.136 0.661
Ag4 0.500 0.500 0.000
Ag5 0.816 0.525 0.631
Pd1 0.500 0.000 0.000
Se1 0.675 0.142 0.350
Se2 0.013 0.256 0.026
Se3 0.325 0.858 0.650
Se4 0.987 0.744 0.974

Record 10
A plane-wave DFT calculation with PBE was carried out for crystalline AgPd2Se2 at its relaxed geometry.

The uncorrected formation energy is -36 meV per atom. The symmetry is P4/mbm (127). The value obtained for the calculated volume is 183 Å³ per cell.

a = 7.322 Å, b = 7.322 Å, c = 3.421 Å
α = 90.00°, β = 90.00°, γ = 90.00°
Fractional coordinates of all 10 atoms:
Se1 0.337 0.837 0.000
Se2 0.837 0.663 0.000
Se3 0.663 0.163 0.000
Se4 0.163 0.337 0.000
Pd1 0.147 0.647 0.500
Pd2 0.647 0.853 0.500
Pd3 0.853 0.353 0.500
Pd4 0.353 0.147 0.500
Ag1 0.000 0.000 0.000
Ag2 0.500 0.500 0.000

Record 11
A plane-wave DFT calculation with PBE was carried out for crystalline AgPd3Se6 at its relaxed geometry.

The uncorrected formation energy is -175 meV per atom. The symmetry is R3 (146). The value obtained for the calculated volume is 215 Å³ per cell.

a = 6.642 Å, b = 6.642 Å, c = 6.805 Å
α = 60.79°, β = 60.79°, γ = 60.00°
Fractional coordinates of all 10 atoms:
Ag1 0.858 0.858 0.425
Pd1 0.345 0.345 0.964
Pd2 0.654 0.654 0.037
Pd3 0.147 0.147 0.560
Se1 0.945 0.534 0.249
Se2 0.272 0.945 0.249
Se3 0.534 0.272 0.249
Se4 0.061 0.440 0.755
Se5 0.744 0.061 0.755
Se6 0.440 0.744 0.755

Record 12
A plane-wave DFT calculation with PBE was carried out for crystalline AgPd3Se at its relaxed geometry.

The uncorrected formation energy is 1109 meV per atom. The symmetry is Pm-3m (221). The value obtained for the calculated volume is 118 Å³ per cell.

a = 4.899 Å, b = 4.899 Å, c = 4.899 Å
α = 90.00°, β = 90.00°, γ = 90.00°
Fractional coordinates of all 5 atoms:
Se1 0.500 0.500 0.500
Pd1 0.000 0.500 0.000
Pd2 0.000 0.000 0.500
Pd3 0.500 0.000 0.000
Ag1 0.000 0.000 0.000

no.,theoretical density (g cm⁻³),M_tot (μB/cell)
1,7.711,0.0
2,9.858,0.0
3,8.632,0.0
4,9.928,0.0
5,9.377,0.0
6,6.151,0.0
7,6.422,0.0
8,7.964,0.0
9,7.447,0.0
10,8.667,0.0
11,6.966,0.0
12,7.149,0.0